Ca2Zn2GaPt5 (PBE, relaxed); energy of formation = -0.7308 eV per atom; total DFT energy (no corrections) = -4.709 eV/atom
1.0
9.700 0.000 0.000
0.000 9.700 0.000
0.000 0.000 3.708
Ca Zn Ga Pt
4 4 2 10
Direct
0.174 0.326 0.000
0.326 0.826 0.000
0.674 0.174 0.000
0.826 0.674 0.000
0.126 0.626 0.000
0.374 0.126 0.000
0.626 0.874 0.000
0.874 0.374 0.000
0.000 0.000 0.000
0.500 0.500 0.000
0.000 0.500 0.500
0.063 0.800 0.500
0.200 0.063 0.500
0.300 0.563 0.500
0.437 0.300 0.500
0.500 0.000 0.500
0.563 0.700 0.500
0.700 0.437 0.500
0.800 0.937 0.500
0.937 0.200 0.500